A geometry-optimized CsAcNiO4 structure. Source: Alexandria, functional GGA+U.

For the total energy, the calculation gives -77.721 eV/cell. The total magnetic moment is 0.568 μB per atom. For the theoretical density, the calculation gives 5.6 g/cm³.

It has space group P2_1/m (No. 11), with a = 6.1540 Å, b = 5.8318 Å, c = 8.2511 Å, α = 90.00°, β = 105.84° and γ = 90.00°. Symmetry generates all atoms from Cs at (0.2161, 0.2500, 0.4326), Ac at (0.2626, 0.2500, 0.9478), Ni at (0.2788, 0.7500, 0.1767), O at (0.0828, 0.7500, 0.3008), O at (0.0933, 0.7500, 0.9591) and O at (0.4703, 0.5123, 0.1848).